# 1
A geometry-optimized NaCePr2 structure, computed with PBE-GGA.

abc: 4.2456 4.2456 10.5962
angles: 78.44 78.44 60.00
Closest atoms and distances in Å follow each position.
Fractional coordinates of all 4 atoms:
Pr1 0.1162 0.1162 0.6515  3 Ce 2.91
Pr2 0.8838 0.8838 0.3485  3 Ce 2.91
Na1 0.0000 0.0000 0.0000  2 Pr 3.59
Ce1 0.5000 0.5000 0.5000  6 Pr 2.91

Output
Relative energy among the computed polymorphs   596 meV per atom
Density of states at the Fermi level   7.17 states/eV/cell
Formation energy   0.71 eV/atom
M_tot   0.00 μB per formula unit
DFT total energy   -3.49 eV per atom

=====

# 2
A geometry-optimized NaCe2PrS4 structure, computed with PBE-GGA.

abc: 4.0617 7.0607 7.0612
angles: 70.62 90.00 90.00
Closest atoms and distances in Å follow each position.
Fractional coordinates of all 8 atoms:
Na1 0.5000 0.5000 0.0000  6 S 2.88-2.90
Ce1 0.0000 0.0000 0.0000  6 S 2.86
Ce2 0.5000 0.0000 0.5000  6 S 2.86-2.88
Pr1 0.0000 0.5000 0.5000  6 S 2.90
S1 0.0000 0.7554 0.7483  3 Ce 2.86, 2 Na 2.90, 1 Pr 2.90
S2 0.0000 0.2446 0.2517  3 Ce 2.86, 2 Na 2.90, 1 Pr 2.90
S3 0.5000 0.7534 0.2461  3 Ce 2.86-2.88, 1 Na 2.88, 2 Pr 2.90
S4 0.5000 0.2466 0.7539  3 Ce 2.86-2.88, 1 Na 2.88, 2 Pr 2.90

Output
Density of states at the Fermi level   12.12 states/eV/cell
Formation energy without anion corrections   -1.8780 eV per atom
M_tot   2.24 μB per formula unit
DFT total energy   -6.19 eV per atom

=====

# 3
A geometry-optimized Na3Ce2PrS6 structure, computed with PBE-GGA.

abc: 7.1858 7.1858 7.0861
angles: 99.73 99.73 120.00
Closest atoms and distances in Å follow each position.
Fractional coordinates of all 12 atoms:
Na1 0.1664 0.8336 0.5000  6 S 2.97-2.99
Na2 0.8336 0.1664 0.5000  6 S 2.97-2.99
Na3 0.5000 0.5000 0.5000  6 S 2.97-2.99
Ce1 0.3333 0.6667 0.0000  6 S 2.85
Ce2 0.6667 0.3333 0.0000  6 S 2.85
Pr1 0.0000 0.0000 0.0000  6 S 2.87-2.88
S1 0.9222 0.5860 0.7669  2 Ce 2.85, 1 Pr 2.87, 3 Na 2.97-2.99
S2 0.7418 0.7418 0.2339  2 Ce 2.85, 1 Pr 2.88, 3 Na 2.97-2.99
S3 0.0778 0.4140 0.2331  2 Ce 2.85, 1 Pr 2.87, 3 Na 2.97-2.99
S4 0.5860 0.9222 0.7669  2 Ce 2.85, 1 Pr 2.87, 3 Na 2.97-2.99
S5 0.2582 0.2582 0.7661  2 Ce 2.85, 1 Pr 2.88, 3 Na 2.97-2.99
S6 0.4140 0.0778 0.2331  2 Ce 2.85, 1 Pr 2.87, 3 Na 2.97-2.99

Output
Density of states at the Fermi level   11.82 states/eV/cell
Formation energy without anion corrections   -1.7493 eV per atom
M_tot   2.02 μB per formula unit
DFT total energy   -5.53 eV per atom

=====

# 4
A geometry-optimized NaCe2Pr3Se6 structure, computed with PBE-GGA.

abc: 4.2237 8.5202 9.4949
angles: 103.11 102.85 90.00
Closest atoms and distances in Å follow each position.
Fractional coordinates of all 12 atoms:
Na1 0.5000 0.0000 0.0000  6 Se 2.98
Ce1 0.8331 0.6644 0.6662  6 Se 2.97-3.00
Ce2 0.1669 0.3356 0.3338  6 Se 2.97-3.00
Pr1 0.5000 0.5000 0.0000  6 Se 3.00-3.02
Pr2 0.8350 0.1716 0.6701  6 Se 2.99-3.05
Pr3 0.1650 0.8284 0.3299  6 Se 2.99-3.05
Se1 0.3343 0.9150 0.6686  1 Na 2.98, 2 Ce 3.00, 3 Pr 3.04-3.05
Se2 0.6667 0.5806 0.3334  3 Ce 2.97-3.00, 3 Pr 2.99-3.00
Se3 0.6657 0.0850 0.3314  1 Na 2.98, 2 Ce 3.00, 3 Pr 3.04-3.05
Se4 0.0022 0.2484 0.0043  1 Ce 2.97, 2 Na 2.98, 3 Pr 3.01-3.02
Se5 0.9978 0.7516 0.9957  1 Ce 2.97, 2 Na 2.98, 3 Pr 3.01-3.02
Se6 0.3333 0.4194 0.6666  3 Ce 2.97-3.00, 3 Pr 2.99-3.00

Output
Density of states at the Fermi level   15.52 states/eV/cell
Formation energy without anion corrections   -1.7825 eV per atom
M_tot   2.11 μB per formula unit
DFT total energy   -5.82 eV per atom

=====

Question: What is the density of states at the Fermi level in the first record?
Answer: 7.17 states/eV/cell

=====

Question: Among the records above, which one has the highest density of states at the Fermi level?
Answer: NaCe2Pr3Se6

=====

Question: Which value of DFT total energy does entry 3 give?
Answer: -5.53 eV per atom

=====

What did the first record say?
A geometry-optimized NaCePr2 structure, computed with PBE-GGA.

abc: 4.2456 4.2456 10.5962
angles: 78.44 78.44 60.00
Closest atoms and distances in Å follow each position.
Fractional coordinates of all 4 atoms:
Pr1 0.1162 0.1162 0.6515  3 Ce 2.91
Pr2 0.8838 0.8838 0.3485  3 Ce 2.91
Na1 0.0000 0.0000 0.0000  2 Pr 3.59
Ce1 0.5000 0.5000 0.5000  6 Pr 2.91

Output
Relative energy among the computed polymorphs   596 meV per atom
Density of states at the Fermi level   7.17 states/eV/cell
Formation energy   0.71 eV/atom
M_tot   0.00 μB per formula unit
DFT total energy   -3.49 eV per atom